VSnSb2Te | GGA-PBE | relaxed

Unit cell a=5.5795 b=5.5795 c=5.6697 alpha=90.00 beta=90.00 gamma=90.00
Last column: magnetic moment on the atom in μB.
Fractional positions:
Sb 0.0000 0.5000 0.0000  -0.11
V 0.5000 0.5000 0.5000  3.05
Te 0.0000 0.0000 0.5000  -0.10
Sb 0.5000 0.0000 0.0000  -0.11
Sn 0.0000 0.0000 0.0000  0.01

Properties
E (eV per cell): -18.9
Size of the total moment (Bohr magnetons per cell): 3.1
E_form (uncorrected) (meV per atom): 1118